# PBE GaHgS2O8, relaxed
# - energy relative to the elements, uncorrected (eV/atom) = -1.22
data_GaHgS2O8
_symmetry_space_group_name_H-M 'C 1 2/m 1'
_symmetry_Int_Tables_number 12
_symmetry_space_group_name_Hall '-C 2y'
_cell_length_a 8.220
_cell_length_b 5.168
_cell_length_c 8.027
_cell_angle_alpha 90.00
_cell_angle_beta 92.25
_cell_angle_gamma 90.00
loop_
_atom_site_label
_atom_site_type_symbol
_atom_site_fract_x
_atom_site_fract_y
_atom_site_fract_z
Ga1 Ga 0.000 0.000 0.000
Hg1 Hg 0.000 0.000 0.500
S1 S 0.140 0.500 0.803
O1 O 0.033 0.265 0.823
O2 O 0.201 0.500 0.635
O3 O 0.234 0.000 0.060



# PBE BaZrRu2, relaxed
# - ΔE to the lowest computed polymorph (eV/atom) = 0.206
# - energy relative to the elements (eV/atom) = 0.34
data_BaZrRu2
_symmetry_space_group_name_H-M 'I m m 2'
_symmetry_Int_Tables_number 44
_symmetry_space_group_name_Hall 'I 2 -2'
_cell_length_a 3.322
_cell_length_b 4.245
_cell_length_c 14.012
_cell_angle_alpha 90.00
_cell_angle_beta 90.00
_cell_angle_gamma 90.00
loop_
_atom_site_label
_atom_site_type_symbol
_atom_site_fract_x
_atom_site_fract_y
_atom_site_fract_z
Ba1 Ba 0.000 0.000 0.000
Zr1 Zr 0.000 0.500 0.241
Ru1 Ru 0.000 0.000 0.368
Ru2 Ru 0.000 0.500 0.724



# PBE FeSi, relaxed
# - energy relative to the elements, uncorrected (eV/atom) = -0.21
data_FeSi
_symmetry_space_group_name_H-M 'C 1 m 1'
_symmetry_Int_Tables_number 8
_symmetry_space_group_name_Hall 'C -2y'
_cell_length_a 7.242
_cell_length_b 2.703
_cell_length_c 5.692
_cell_angle_alpha 90.00
_cell_angle_beta 123.86
_cell_angle_gamma 90.00
loop_
_atom_site_label
_atom_site_type_symbol
_atom_site_fract_x
_atom_site_fract_y
_atom_site_fract_z
Fe1 Fe 0.000 0.000 0.000
Fe2 Fe 0.236 0.000 0.532
Si1 Si 0.116 0.500 0.758
Si2 Si 0.337 0.500 0.279



# PBE RbMgPb2, relaxed
# - energy relative to the elements (eV/atom) = -0.10
data_RbMgPb2
_symmetry_space_group_name_H-M 'P 1 21/m 1'
_symmetry_Int_Tables_number 11
_symmetry_space_group_name_Hall '-P 2yb'
_cell_length_a 6.756
_cell_length_b 5.151
_cell_length_c 8.893
_cell_angle_alpha 90.00
_cell_angle_beta 108.73
_cell_angle_gamma 90.00
loop_
_atom_site_label
_atom_site_type_symbol
_atom_site_fract_x
_atom_site_fract_y
_atom_site_fract_z
Rb1 Rb 0.211 0.250 0.412
Mg1 Mg 0.298 0.250 0.916
Pb1 Pb 0.205 0.750 0.075
Pb2 Pb 0.360 0.750 0.757



Across the entries above, density of states at the Fermi level takes the values 4.1 9.7 7.6 2.7 states/eV per cell, respectively.
Across the entries above, E_tot takes the values -5.486 -6.921 -7.152 -2.597 eV/atom, respectively.